--- P ---
Here is an optimized crystal structure of Pm2TmTc from Alexandria. Energies are from PBE.

## Properties
* density of states at the Fermi level: 3.23 states/eV/f.u.

a = 6.359 Å, b = 7.418 Å, c = 9.439 Å
α = 90.00°, β = 90.00°, γ = 90.00°
Fractional positions:
Pm 0.166 0.678 0.064
Pm 0.334 0.178 0.436
Pm 0.834 0.322 0.564
Pm 0.666 0.822 0.936
Pm 0.834 0.322 0.936
Pm 0.666 0.822 0.564
Pm 0.166 0.678 0.436
Pm 0.334 0.178 0.064
Tm 0.637 0.546 0.250
Tm 0.863 0.046 0.250
Tm 0.363 0.454 0.750
Tm 0.137 0.954 0.750
Tc 0.034 0.390 0.250
Tc 0.466 0.890 0.250
Tc 0.966 0.610 0.750
Tc 0.534 0.110 0.750


--- Q ---
Here is an optimized crystal structure of Pm2TmTc from Alexandria. Energies are from PBE.

## Properties
* density of states at the Fermi level: 5.56 states/eV/f.u.

a = 3.535 Å, b = 3.535 Å, c = 8.705 Å
α = 90.00°, β = 90.00°, γ = 90.00°
Fractional positions:
Tm 0.500 0.500 0.500
Tc 0.500 0.500 0.000
Pm 0.000 0.000 0.805
Pm 0.000 0.000 0.195


Sorted by energy, starting with the most stable: P, Q.